No. 1
Here is crystalline Tm5PdS4 at its relaxed geometry from the Alexandria database. Energies are from PBE.

Values from the calculation:
electronic total energy	-6.11	eV/atom
SG	C2/m (12)

abc: 3.8128 6.8290 8.7371
angles: 75.58 77.40 73.79
Fractional coordinates of all 10 atoms:
S  0.8009  0.6023  0.7960
S  0.1991  0.3977  0.2040
Tm  0.0000  0.5000  0.5000
Pd  0.0000  0.0000  0.0000
S  0.6016  0.2035  0.5934
Tm  0.7997  0.0975  0.3031
Tm  0.5997  0.6986  0.1021
S  0.3984  0.7965  0.4066
Tm  0.2003  0.9025  0.6969
Tm  0.4003  0.3014  0.8979



No. 2
Here is crystalline PmZr2Fe9 at its relaxed geometry from the Alexandria database. Energies are from PBE.

Values from the calculation:
E_form	-178	kJ/mol of formula units
electronic total energy	-8.32	eV/atom
SG	R-3m (166)

abc: 5.0261 5.0261 8.5063
angles: 72.82 72.82 60.00
Fractional coordinates of all 12 atoms:
Fe  0.5857  0.5857  0.7453
Fe  0.0832  0.5857  0.7453
Fe  0.3327  0.3327  0.0020
Zr  0.8571  0.8571  0.4286
Fe  0.5000  0.5000  0.5000
Pm  0.0000  0.0000  0.0000
Fe  0.4143  0.4143  0.2547
Fe  0.9168  0.4143  0.2547
Fe  0.4143  0.9168  0.2547
Fe  0.6673  0.6673  0.9980
Fe  0.5857  0.0832  0.7453
Zr  0.1429  0.1429  0.5714



No. 3
Here is crystalline BaZr3 at its relaxed geometry from the Alexandria database. Energies are from PBE.

Values from the calculation:
E_form	156	kJ/mol of formula units
electronic total energy	-6.49	eV/atom
SG	C2/m (12)
E above lowest polymorph	88	meV/atom

abc: 5.5224 5.5224 6.9199
angles: 85.54 85.54 34.17
Fractional coordinates of all 4 atoms:
Ba  0.0000  0.0000  0.0000
Zr  0.7627  0.7627  0.6809
Zr  0.2373  0.2373  0.3191
Zr  0.5000  0.5000  0.5000